[1]
First-principles (PBE) data for a geometry-optimized PmHgBiO4 structure, as listed in Alexandria via LeMat-Bulk.

Lattice parameters (Å, degrees): 7.0834 7.0834 7.0834 122.87 119.03 88.39
Fractional positions:
Pm 0.0000 0.0000 0.0000
Pm 0.5000 0.0000 0.5000
Hg 0.5000 0.0000 0.0000
Hg 0.5000 0.5000 0.5000
Bi 0.1084 0.3584 0.7500
Bi 0.8916 0.6416 0.2500
O 0.2331 0.2121 0.4789
O 0.2331 0.7542 0.0211
O 0.2556 0.2349 0.0207
O 0.2858 0.7651 0.5207
O 0.7142 0.2349 0.4793
O 0.7444 0.7651 0.9793
O 0.7669 0.2458 0.9789
O 0.7669 0.7879 0.5211

## Properties
- spin magnetization (μB/cell) = 0.0



[2]
First-principles (PBE) data for a geometry-optimized Pm2Al2Re2C structure, as listed in Alexandria via LeMat-Bulk.

Lattice parameters (Å, degrees): 6.0315 6.0315 7.1472 107.74 107.74 32.90
Fractional positions:
Pm 0.0153 0.0153 0.2681
Pm 0.9847 0.9847 0.7319
Al 0.2998 0.2998 0.3402
Al 0.7002 0.7002 0.6598
Re 0.3187 0.3187 0.9420
Re 0.6813 0.6813 0.0580
C 0.5000 0.5000 0.0000

## Properties
- spin magnetization (μB/cell) = 0.0
- calculated formation energy (meV/atom) = -193
- N(E_F) (states/eV/cell) = 4.3



[3]
First-principles (PBE) data for a geometry-optimized Li3HfC structure, as listed in Alexandria via LeMat-Bulk.

Lattice parameters (Å, degrees): 4.0105 4.0105 4.0105 90.00 90.00 90.00
Fractional positions:
Li 0.0000 0.0000 0.5000
Li 0.0000 0.5000 0.0000
Li 0.5000 0.0000 0.0000
Hf 0.5000 0.5000 0.5000
C 0.0000 0.0000 0.0000

## Properties
- spin magnetization (μB/cell) = 0.0
- calculated formation energy (meV/atom) = 772
- polymorph energy (0 for the lowest one) (meV per atom) = 0.0
- N(E_F) (states/eV/cell) = 3.3



Short version: VASP energy = -5.7382; -7.4937; -4.2116 eV per atom, in the order given.
Short version: V = 17.66; 19.13; 12.90 A^3/atom, in the order given.